1.
SbPb2Au: relaxed, PBE.

abc: 9.9113 9.9113 9.9113
angles: 21.23 21.23 21.23
Atoms (fractional coordinates):
Sb (0.0000, 0.0000, 0.0000)
Pb (0.2400, 0.2400, 0.2400)
Pb (0.7600, 0.7600, 0.7600)
Au (0.5000, 0.5000, 0.5000)

Calculated values
Energy, eV per cell: -14.64
Raw formation energy, meV per atom: 44

=====

2.
AcTb2Ag3: relaxed, PBE.

abc: 3.7412 3.7412 11.3124
angles: 90.00 90.00 90.00
Atoms (fractional coordinates):
Ac (0.0000, 0.0000, 0.0000)
Tb (0.0000, 0.0000, 0.3421)
Tb (0.0000, 0.0000, 0.6579)
Ag (0.5000, 0.5000, 0.1947)
Ag (0.5000, 0.5000, 0.5000)
Ag (0.5000, 0.5000, 0.8053)

Calculated values
Energy, eV per cell: -23.64
DFT formation energy, eV per formula unit: -1.72

=====

3.
CaScMn2: relaxed, PBE.

abc: 4.9838 4.9838 3.3629
angles: 90.00 90.00 90.00
Atoms (fractional coordinates):
Ca (0.0000, 0.0000, 0.0000)
Sc (0.5000, 0.5000, 0.0000)
Mn (0.0000, 0.5000, 0.5000)
Mn (0.5000, 0.0000, 0.5000)

Calculated values
Polymorph energy (0 for the lowest one), meV per atom: 166
Energy, eV per cell: -25.06
DFT formation energy, eV per formula unit: 1.61

=====

4.
LiAsSe3: relaxed, PBE.

abc: 10.6649 10.6649 7.1375
angles: 90.00 90.00 162.38
Atoms (fractional coordinates):
Li (0.1713, 0.8287, 0.5000)
Li (0.8287, 0.1713, 0.0000)
As (0.3468, 0.6532, 0.4604)
As (0.6532, 0.3468, 0.9604)
Se (0.0986, 0.9014, 0.1709)
Se (0.2390, 0.7610, 0.8279)
Se (0.4153, 0.5847, 0.1878)
Se (0.5847, 0.4153, 0.6878)
Se (0.7610, 0.2390, 0.3279)
Se (0.9014, 0.0986, 0.6709)

Calculated values
Polymorph energy (0 for the lowest one), meV per atom: 0
Energy, eV per cell: -36.97
Raw formation energy, meV per atom: -293

=====

5.
KRhBr2: relaxed, PBE.

abc: 3.9092 3.9092 7.5668
angles: 90.00 90.00 90.00
Atoms (fractional coordinates):
K (0.0000, 0.0000, 0.0000)
Rh (0.5000, 0.5000, 0.5360)
Br (0.0000, 0.0000, 0.5761)
Br (0.5000, 0.5000, 0.1896)

Calculated values
Polymorph energy (0 for the lowest one), meV per atom: 201
Energy, eV per cell: -13.46
Raw formation energy, meV per atom: -415

=====

6.
PmEuCdIr: relaxed, PBE.

abc: 5.1740 5.1740 5.1740
angles: 60.00 60.00 60.00
Atoms (fractional coordinates):
Pm (0.0000, 0.0000, 0.0000)
Eu (0.5000, 0.5000, 0.5000)
Cd (0.2500, 0.2500, 0.2500)
Ir (0.7500, 0.7500, 0.7500)

Calculated values
Energy, eV per cell: -26.20
DFT formation energy, eV per formula unit: -1.39

=====

7.
La7Nd5: relaxed, PBE.

abc: 9.9056 9.9056 13.6557
angles: 117.84 117.84 21.71
Atoms (fractional coordinates):
La (0.0000, 0.0000, 0.0000)
La (0.1402, 0.1402, 0.7509)
La (0.1670, 0.1670, 0.5015)
La (0.4736, 0.4736, 0.7502)
La (0.5264, 0.5264, 0.2498)
La (0.8330, 0.8330, 0.4985)
La (0.8598, 0.8598, 0.2491)
Nd (0.1927, 0.1927, 0.2497)
Nd (0.3325, 0.3325, 0.9973)
Nd (0.5000, 0.5000, 0.5000)
Nd (0.6675, 0.6675, 0.0027)
Nd (0.8073, 0.8073, 0.7503)

Calculated values
Polymorph energy (0 for the lowest one), meV per atom: 0
Energy, eV per cell: -58.22
DFT formation energy, eV per formula unit: 0.11

=====

8.
InRh2Br: relaxed, PBE.

abc: 3.2361 3.2361 6.8079
angles: 90.00 90.00 90.00
Atoms (fractional coordinates):
In (0.0000, 0.0000, 0.0000)
Rh (0.5000, 0.5000, 0.2282)
Rh (0.5000, 0.5000, 0.7718)
Br (0.0000, 0.0000, 0.5000)

Calculated values
Polymorph energy (0 for the lowest one), meV per atom: 140
Energy, eV per cell: -18.51
Raw formation energy, meV per atom: 150

=====

- Which of these has the highest energy?
  KRhBr2